(1)
Crystalline Rb4P at its relaxed geometry. Source: Alexandria, functional GGA-PBE.

Results
- Total energy: -1.888 eV per atom
- ΔE to the lowest computed polymorph: 0 meV/atom
- ΔE_f: -32 meV per atom
- Symmetry: P4/mcc

Cell lengths 8.8502, 8.8502, 8.6327 Å; angles 90.00, 90.00, 90.00 degrees
Last column: nearest neighbours and their distance in Å.
Atoms (fractional coordinates):
Rb: 0.1602 0.2599 0.0000  2 P 3.46, 2 Rb 3.82
Rb: 0.1602 0.7401 0.5000  2 P 3.46, 2 Rb 3.82
Rb: 0.2599 0.1602 0.5000  2 P 3.46, 2 Rb 3.82
Rb: 0.2599 0.8398 0.0000  2 P 3.46, 2 Rb 3.82
Rb: 0.7401 0.1602 0.0000  2 P 3.46, 2 Rb 3.82
Rb: 0.7401 0.8398 0.5000  2 P 3.46, 2 Rb 3.82
Rb: 0.8398 0.2599 0.5000  2 P 3.46, 2 Rb 3.82
Rb: 0.8398 0.7401 0.0000  2 P 3.46, 2 Rb 3.82
P: 0.0000 0.0000 0.2500  8 Rb 3.46
P: 0.0000 0.0000 0.7500  8 Rb 3.46



(2)
Crystalline RbP at its relaxed geometry. Source: Alexandria, functional GGA-PBE.

Results
- Total energy: -2.705 eV per atom
- ΔE to the lowest computed polymorph: 857 meV/atom
- ΔE_f: 484 meV per atom
- Symmetry: Amm2

Cell lengths 2.8598, 5.4825, 5.4825 Å; angles 60.24, 90.00, 90.00 degrees
Last column: nearest neighbours and their distance in Å.
Atoms (fractional coordinates):
Rb: 0.0000 0.0000 0.0000  2 Rb 2.86
P: 0.5000 0.3343 0.3343  2 P 2.86